No. 1
A plane-wave DFT calculation with PBE was carried out for a geometry-optimized Tb4Ho3Tm structure.

Calculated values
**Total magnetic moment**: 0.000 μB per atom
**E above lowest polymorph**: 0 meV/atom

Unit cell a=11.195 b=7.228 c=6.251 alpha=90.00 beta=90.00 gamma=90.00
Fractional coordinates of all 16 atoms:
1 Tb 0.000 0.126 0.000
2 Tb 0.000 0.874 0.499
3 Tb 0.249 0.874 0.833
4 Tb 0.251 0.126 0.333
5 Tb 0.500 0.126 0.999
6 Tb 0.500 0.874 0.500
7 Tb 0.749 0.126 0.333
8 Tb 0.751 0.874 0.833
9 Ho 0.000 0.376 0.499
10 Ho 0.250 0.376 0.832
11 Ho 0.250 0.624 0.332
12 Ho 0.500 0.624 0.999
13 Ho 0.750 0.376 0.832
14 Ho 0.750 0.624 0.332
15 Tm 0.000 0.624 0.000
16 Tm 0.500 0.376 0.500



No. 2
A plane-wave DFT calculation with PBE was carried out for a geometry-optimized Tb2Ho4Tm7 structure.

Calculated values
**Total magnetic moment**: 0.000 μB per atom

Unit cell a=6.061 b=7.831 c=9.272 alpha=65.07 beta=83.75 gamma=82.54
Fractional coordinates of all 13 atoms:
1 Tb 0.154 0.193 0.384
2 Tb 0.846 0.807 0.616
3 Ho 0.308 0.885 0.770
4 Ho 0.462 0.578 0.154
5 Ho 0.538 0.422 0.846
6 Ho 0.692 0.115 0.230
7 Tm 0.000 0.500 0.000
8 Tm 0.077 0.346 0.692
9 Tm 0.231 0.038 0.077
10 Tm 0.384 0.730 0.461
11 Tm 0.616 0.270 0.539
12 Tm 0.769 0.962 0.923
13 Tm 0.923 0.654 0.308



No. 3
A plane-wave DFT calculation with PBE was carried out for a geometry-optimized Tb3Ho2Tm9 structure.

Calculated values
**Total magnetic moment**: 0.000 μB per atom

Unit cell a=6.174 b=8.554 c=8.680 alpha=79.98 beta=75.91 gamma=87.31
Fractional coordinates of all 14 atoms:
1 Tb 0.000 0.000 0.000
2 Tb 0.173 0.340 0.197
3 Tb 0.484 0.752 0.547
4 Ho 0.699 0.332 0.966
5 Ho 0.817 0.407 0.563
6 Tm 0.041 0.757 0.365
7 Tm 0.148 0.066 0.558
8 Tm 0.254 0.376 0.767
9 Tm 0.328 0.683 0.965
10 Tm 0.443 0.975 0.166
11 Tm 0.580 0.039 0.766
12 Tm 0.710 0.604 0.192
13 Tm 0.720 0.125 0.363
14 Tm 0.896 0.704 0.777



We obtain calculated formation energy values of 0.06; 0.31; 1.59 eV/f.u. for the records listed above, in that order.